1.
VASP calculation (GGA-PBE) on a geometry-optimized CsLiOsBr6 structure.

Results
The value obtained for the total energy is -31.2 eV per formula unit. The space-group type is P312. The calculation puts the calculated volume at 37.133 Å³ per atom. The formation energy from raw total energies is -76.6 kJ per mole of atoms.

Cell: 6.8612 6.8613 8.1976 Å, 90.00 90.00 60.00°
With the nearest neighbours (Å) after each atom.
Fractional coordinates of all 9 atoms:
Os 0.3333 0.3334 0.5000  6 Br 2.51
Br 0.6216 0.0249 0.3235  1 Os 2.51, 1 Li 2.73
Br 0.6215 0.3535 0.6764  1 Os 2.51, 1 Li 2.73
Br 0.0249 0.3535 0.3236  1 Os 2.51, 1 Li 2.73
Br 0.0249 0.6216 0.6764  1 Os 2.51, 1 Li 2.73
Br 0.3535 0.0250 0.6764  1 Os 2.51, 1 Li 2.73
Br 0.3535 0.6215 0.3235  1 Os 2.51, 1 Li 2.73
Li 0.6666 0.6667 0.5000  6 Br 2.73
Cs 0.0000 0.0000 0.0000  6 Br 3.66

=====

2.
VASP calculation (GGA-PBE) on a geometry-optimized Cs2LiOsBr6 structure.

Results
The value obtained for the total energy is -34.8 eV per formula unit. The space-group type is I4/mmm. The calculation puts the calculated volume at 31.344 Å³ per atom. The formation energy from raw total energies is -95.2 kJ per mole of atoms.

Cell: 7.6209 7.6209 7.6267 Å, 60.02 60.02 90.00°
With the nearest neighbours (Å) after each atom.
Fractional coordinates of all 10 atoms:
Br 0.7636 0.2364 0.0000  1 Os 2.55, 1 Li 2.84
Br 0.2364 0.2364 0.0000  1 Os 2.55, 1 Li 2.84
Br 0.7636 0.7636 0.0000  1 Os 2.55, 1 Li 2.84
Br 0.2364 0.7636 0.0000  1 Os 2.55, 1 Li 2.84
Br 0.7640 0.7640 0.4721  1 Os 2.55, 1 Li 2.85
Br 0.2360 0.2360 0.5279  1 Os 2.55, 1 Li 2.85
Li 0.5000 0.5000 0.0000  6 Br 2.84-2.85
Os 0.0000 0.0000 0.0000  6 Br 2.55
Cs 0.2500 0.7500 0.5000  12 Br 3.81-3.82
Cs 0.7500 0.2500 0.5000  12 Br 3.81-3.82

=====

3.
VASP calculation (GGA-PBE) on a geometry-optimized Cs2LiPBr6 structure.

Results
The value obtained for the total energy is -30.2 eV per formula unit. The space-group type is I4/mmm. The calculation puts the calculated volume at 32.291 Å³ per atom. The formation energy from raw total energies is -107.6 kJ per mole of atoms.

Cell: 7.6947 7.6947 7.7037 Å, 60.04 60.04 90.00°
With the nearest neighbours (Å) after each atom.
Fractional coordinates of all 10 atoms:
Cs 0.2500 0.7500 0.5000  12 Br 3.85
Cs 0.7500 0.2500 0.5000  12 Br 3.85
Br 0.2389 0.2389 0.5223  1 P 2.61, 1 Li 2.85
Br 0.7605 0.7605 0.0000  1 P 2.61, 1 Li 2.83
Br 0.7611 0.7611 0.4777  1 P 2.61, 1 Li 2.85
Br 0.7605 0.2395 0.0000  1 P 2.61, 1 Li 2.83
Br 0.2395 0.2395 0.0000  1 P 2.61, 1 Li 2.83
Br 0.2395 0.7605 0.0000  1 P 2.61, 1 Li 2.83
P 0.0000 0.0000 0.0000  6 Br 2.61
Li 0.5000 0.5000 0.0000  6 Br 2.83-2.85